(1)
La6Nd8Sc after structural relaxation, computed with PBE-GGA.

Cell lengths 8.8878, 8.8878, 8.8878 Å; angles 63.29, 63.29, 63.29 degrees
Element x y z (fractional)
1 La 0.0407 0.7376 0.5934
2 La 0.2624 0.4066 0.9593
3 La 0.4066 0.9593 0.2624
4 La 0.5934 0.0407 0.7376
5 La 0.7376 0.5934 0.0407
6 La 0.9593 0.2624 0.4066
7 Nd 0.0779 0.0779 0.0779
8 Nd 0.2065 0.2657 0.6132
9 Nd 0.2657 0.6132 0.2065
10 Nd 0.3868 0.7935 0.7343
11 Nd 0.6132 0.2065 0.2657
12 Nd 0.7343 0.3868 0.7935
13 Nd 0.7935 0.7343 0.3868
14 Nd 0.9221 0.9221 0.9221
15 Sc 0.5000 0.5000 0.5000

Computed properties:
- Volume: 35.5 A^3/atom
- Total magnetization: 0.00 Bohr magnetons per cell
- Symmetry: R-3
- ΔH_f (0 K): 0.099 eV/atom

(2)
La2Nd3Sc after structural relaxation, computed with PBE-GGA.

Cell lengths 7.0441, 9.9648, 5.7417 Å; angles 90.00, 90.00, 90.00 degrees
Element x y z (fractional)
1 La 0.2443 0.1685 0.0000
2 La 0.2557 0.6685 0.5000
3 La 0.7443 0.3315 0.5000
4 La 0.7557 0.8315 0.0000
5 Nd 0.0000 0.5000 0.0000
6 Nd 0.2485 0.8309 0.0000
7 Nd 0.2515 0.3309 0.5000
8 Nd 0.5000 0.0000 0.5000
9 Nd 0.7485 0.6691 0.5000
10 Nd 0.7515 0.1691 0.0000
11 Sc 0.0000 0.0000 0.5000
12 Sc 0.5000 0.5000 0.0000

Computed properties:
- Excess energy over the best structure of this formula in the dataset: 0.0 kJ/mol of atoms
- Volume: 33.6 A^3/atom
- Total magnetization: 0.00 Bohr magnetons per cell
- Symmetry: Pnnm
- ΔH_f (0 K): 0.094 eV/atom

(3)
La2Nd9Sc after structural relaxation, computed with PBE-GGA.

Cell lengths 5.1719, 5.1719, 15.5129 Å; angles 90.00, 90.00, 90.00 degrees
Element x y z (fractional)
1 La 0.0000 0.0000 0.1700
2 La 0.0000 0.0000 0.8300
3 Nd 0.0000 0.5000 0.0000
4 Nd 0.0000 0.5000 0.3405
5 Nd 0.0000 0.5000 0.6595
6 Nd 0.5000 0.0000 0.0000
7 Nd 0.5000 0.0000 0.3405
8 Nd 0.5000 0.0000 0.6595
9 Nd 0.5000 0.5000 0.1705
10 Nd 0.5000 0.5000 0.5000
11 Nd 0.5000 0.5000 0.8295
12 Sc 0.0000 0.0000 0.5000

Computed properties:
- Volume: 34.6 A^3/atom
- Total magnetization: 0.00 Bohr magnetons per cell
- Symmetry: P4/mmm
- ΔH_f (0 K): 0.028 eV/atom

(4)
LaNd2Sc after structural relaxation, computed with PBE-GGA.

Cell lengths 5.0542, 5.0542, 5.0994 Å; angles 90.00, 90.00, 90.00 degrees
Element x y z (fractional)
1 La 0.0000 0.0000 0.0000
2 Nd 0.0000 0.5000 0.5000
3 Nd 0.5000 0.0000 0.5000
4 Sc 0.5000 0.5000 0.0000

Computed properties:
- Excess energy over the best structure of this formula in the dataset: 0.0 kJ/mol of atoms
- Volume: 32.6 A^3/atom
- Total magnetization: 0.00 Bohr magnetons per cell
- Symmetry: P4/mmm
- ΔH_f (0 K): 0.040 eV/atom